CaH2OF GGA-PBE relaxed; ρ = 2.3 Mg/m³; DOS(E_F) = 0.911 states/eV/cell; E = -4.715 eV per atom
1.0
3.605 0.003 0.006
1.781 3.835 0.004
1.746 0.118 4.031
H O Ca F
2 1 1 1
Cartesian
1.874 2.498 0.244
3.684 1.713 0.136
5.443 2.751 3.831
3.642 3.243 2.102
3.662 0.885 1.883

***

CaH2OF GGA-PBE relaxed; ρ = 2.1 Mg/m³; DOS(E_F) = 0.000 states/eV/cell; E = -4.756 eV per atom
1.0
5.593 0.000 0.031
0.000 3.662 0.000
-2.426 0.000 5.859
F H O Ca
2 4 2 2
Cartesian
-0.218 1.831 2.572
-1.430 0.000 5.501
1.723 1.831 3.376
1.510 0.000 2.156
2.936 0.000 0.447
0.297 1.831 5.086
3.839 0.000 0.824
2.626 1.831 3.754
3.985 0.000 3.172
5.197 1.831 0.242

***

CaH2OF GGA-PBE relaxed; ρ = 2.2 Mg/m³; DOS(E_F) = 1.054 states/eV/cell; E = -4.750 eV per atom
1.0
-2.533 1.730 -4.280
-3.154 -1.438 1.285
-0.055 4.372 4.757
O H Ca F
2 4 2 2
Cartesian
-2.176 3.390 3.771
-0.571 1.924 0.750
-2.373 1.320 0.971
-2.686 4.072 3.282
-1.081 2.605 0.261
-0.823 4.225 2.707
-2.533 5.939 0.428
-4.083 3.034 -1.308
-3.552 0.943 -2.346
-2.003 3.847 -0.610